Entry from Alexandria: crystalline BaCrF7 at its relaxed geometry (PBE with a Hubbard U).

Summary:
For the calculated total energy, the calculation gives -5.14 eV per atom.

a = 5.456 Å, b = 9.991 Å, c = 10.042 Å
α = 90.00°, β = 93.74°, γ = 90.00°
Space group P2_1/c (No. 14)
One atom of each set of equivalent atoms:
Ba: 0.241 0.209 0.004 (multiplicity 4)
Cr: 0.322 0.606 0.191 (multiplicity 4)
F: 0.048 0.687 0.248 (multiplicity 4)
F: 0.097 0.533 0.581 (multiplicity 4)
F: 0.161 0.045 0.638 (multiplicity 4)
F: 0.250 0.692 0.029 (multiplicity 4)
F: 0.400 0.044 0.374 (multiplicity 4)
F: 0.401 0.535 0.358 (multiplicity 4)
F: 0.489 0.245 0.755 (multiplicity 4)